Record 1
# Ta2FeHg, optimized geometry, DFT PBE
# DFT formation energy, eV per atom: 0.294
# V, Å³ per cell: 70
# Electronic total energy, eV/atom: -7.8234
data_Ta2FeHg
_symmetry_space_group_name_H-M 'P 1 m 1'
_symmetry_Int_Tables_number 6
_cell_length_a 3.0269
_cell_length_b 4.1497
_cell_length_c 5.7894
_cell_angle_alpha 90.00
_cell_angle_beta 104.39
_cell_angle_gamma 90.00
loop_
_symmetry_equiv_pos_as_xyz
'x,y,z'
'x,-y,z'
loop_
_atom_site_label
_atom_site_fract_x
_atom_site_fract_y
_atom_site_fract_z
Ta1 0.0000 0.0000 0.0000
Ta2 0.3564 0.5000 0.7329
Fe1 0.6190 0.5000 0.1384
Hg1 0.7272 0.0000 0.4593

***

Record 2
# La2CeTe2N2, optimized geometry, DFT PBE
# Uncorrected formation energy, kJ per mole of atoms: -139.42
# V, Å³ per cell: 341
# Electronic total energy, eV/atom: -6.9768
data_La2CeTe2N2
_symmetry_space_group_name_H-M 'I 4/m m m'
_symmetry_Int_Tables_number 139
_symmetry_space_group_name_Hall '-I 4 2'
_cell_length_a 4.5132
_cell_length_b 4.5132
_cell_length_c 16.7550
_cell_angle_alpha 90.00
_cell_angle_beta 90.00
_cell_angle_gamma 90.00
loop_
_atom_site_label
_atom_site_fract_x
_atom_site_fract_y
_atom_site_fract_z
La1 0.0000 0.0000 0.1080
Ce1 0.0000 0.0000 0.5000
Te1 0.0000 0.0000 0.3143
N1 0.0000 0.5000 0.0000

***

Record 3
# CaPrY2Hg4, optimized geometry, DFT PBE
# DFT formation energy, eV per atom: -0.508
# V, Å³ per cell: 645
# Electronic total energy, eV/atom: -3.1221
data_CaPrY2Hg4
_symmetry_space_group_name_H-M 'R -3 m'
_symmetry_Int_Tables_number 166
_symmetry_space_group_name_Hall '-R 3 2"'
_cell_length_a 5.3249
_cell_length_b 5.3249
_cell_length_c 26.2847
_cell_angle_alpha 90.00
_cell_angle_beta 90.00
_cell_angle_gamma 120.00
loop_
_atom_site_label
_atom_site_fract_x
_atom_site_fract_y
_atom_site_fract_z
Ca1 0.0000 0.0000 0.0000
Pr1 0.0000 0.0000 0.5000
Y1 0.0000 0.0000 0.2528
Hg1 0.0000 0.0000 0.1237
Hg2 0.0000 0.0000 0.3748

***

> Number 1 is which compound?

Ta2FeHg